1 | First-principles (PBE) data for a geometry-optimized RbTl3Sb3 structure, as listed in Alexandria.

Cell: 8.439 8.439 8.439 Å, 90.00 90.00 90.00°
Fractional positions:
1 Tl 0.000 0.500 0.250
2 Tl 0.250 0.000 0.500
3 Tl 0.000 0.500 0.750
4 Tl 0.500 0.250 0.000
5 Tl 0.500 0.750 0.000
6 Tl 0.750 0.000 0.500
7 Sb 0.250 0.500 0.000
8 Sb 0.500 0.000 0.750
9 Sb 0.000 0.750 0.500
10 Sb 0.750 0.500 0.000
11 Sb 0.000 0.250 0.500
12 Sb 0.500 0.000 0.250
13 Rb 0.500 0.500 0.500
14 Rb 0.000 0.000 0.000

Results
N(E_F)	0.32	states/eV per atom

2 | First-principles (PBE) data for a geometry-optimized RbTl3Sb3 structure, as listed in Alexandria.

Cell: 8.204 8.204 8.204 Å, 75.50 75.50 75.50°
Fractional positions:
1 Sb 0.232 0.985 0.692
2 Sb 0.768 0.015 0.308
3 Sb 0.692 0.232 0.985
4 Sb 0.985 0.692 0.232
5 Sb 0.308 0.768 0.015
6 Sb 0.015 0.308 0.768
7 Tl 0.743 0.627 0.019
8 Tl 0.627 0.019 0.743
9 Tl 0.981 0.257 0.373
10 Tl 0.257 0.373 0.981
11 Tl 0.373 0.981 0.257
12 Tl 0.019 0.743 0.627
13 Rb 0.388 0.388 0.388
14 Rb 0.612 0.612 0.612

Results
N(E_F)	0.52	states/eV per atom

Which one sits at the top of the stability order? 2 does.

1 | First-principles (PBE) data for a geometry-optimized RbTmSb2 structure, as listed in Alexandria.

Cell: 4.717 4.717 8.440 Å, 73.77 73.77 60.00°
Fractional positions:
1 Sb 0.276 0.276 0.173
2 Sb 0.724 0.724 0.827
3 Rb 0.500 0.500 0.500
4 Tm 0.000 0.000 0.000

Results
N(E_F)	0.88	states/eV per atom

2 | First-principles (PBE) data for a geometry-optimized RbTmSb2 structure, as listed in Alexandria.

Cell: 4.086 4.086 7.971 Å, 90.00 90.00 90.00°
Fractional positions:
1 Tm 0.500 0.500 0.000
2 Sb 0.000 0.000 0.185
3 Sb 0.000 0.000 0.815
4 Rb 0.500 0.500 0.500

Results
N(E_F)	0.47	states/eV per atom

Which one sits at the top of the stability order? 2 does.

1 | First-principles (PBE) data for a geometry-optimized RbVSb3 structure, as listed in Alexandria.

Cell: 5.869 5.869 5.869 Å, 90.00 90.00 90.00°
Site moments in Bohr magnetons follow the coordinates.
Fractional positions:
1 Sb 0.500 0.000 0.000  -0.11
2 Sb 0.000 0.500 0.000  -0.11
3 Sb 0.000 0.000 0.500  -0.11
4 V 0.500 0.500 0.500  3.10
5 Rb 0.000 0.000 0.000  -0.04

Results
N(E_F)	1.42	states/eV per atom

2 | First-principles (PBE) data for a geometry-optimized RbVSb3 structure, as listed in Alexandria.

Cell: 5.289 5.289 5.289 Å, 90.00 90.00 90.00°
Fractional positions:
1 Sb 0.500 0.000 0.000
2 Sb 0.000 0.000 0.500
3 Sb 0.000 0.500 0.000
4 V 0.000 0.000 0.000
5 Rb 0.500 0.500 0.500

Results
N(E_F)	1.43	states/eV per atom

Which one sits at the top of the stability order? 2 does.

1 | First-principles (PBE) data for a geometry-optimized Rb2V2Sb structure, as listed in Alexandria.

Cell: 4.512 4.512 8.141 Å, 73.91 73.91 90.00°
Site moments in Bohr magnetons follow the coordinates.
Fractional positions:
1 Rb 0.750 0.250 0.500  0.05
2 Rb 0.250 0.750 0.500  0.05
3 V 0.440 0.440 0.120  0.26
4 V 0.560 0.560 0.880  0.26
5 Sb 0.000 0.000 0.000  0.01

Results
N(E_F)	0.98	states/eV per atom

2 | First-principles (PBE) data for a geometry-optimized Rb2V2Sb structure, as listed in Alexandria.

Cell: 6.983 6.983 6.148 Å, 90.00 90.00 90.00°
Site moments in Bohr magnetons follow the coordinates.
Fractional positions:
1 V 0.094 0.406 0.000  0.42
2 V 0.594 0.094 0.000  0.42
3 V 0.906 0.594 0.000  0.42
4 V 0.406 0.906 0.000  0.42
5 Rb 0.214 0.714 0.500  0.00
6 Rb 0.714 0.786 0.500  0.00
7 Rb 0.786 0.286 0.500  0.00
8 Rb 0.286 0.214 0.500  0.00
9 Sb 0.500 0.500 0.000  0.00
10 Sb 0.000 0.000 0.000  0.00

Results
N(E_F)	0.83	states/eV per atom

Which one sits at the top of the stability order? 2 does.

1 | First-principles (PBE) data for a geometry-optimized RbSbW3 structure, as listed in Alexandria.

Cell: 4.796 4.796 4.796 Å, 90.00 90.00 90.00°
Fractional positions:
1 W 0.500 0.000 0.000
2 W 0.000 0.000 0.500
3 W 0.000 0.500 0.000
4 Sb 0.500 0.500 0.500
5 Rb 0.000 0.000 0.000

Results
N(E_F)	1.61	states/eV per atom

2 | First-principles (PBE) data for a geometry-optimized RbSbW3 structure, as listed in Alexandria.

Cell: 5.093 5.093 5.093 Å, 90.00 90.00 90.00°
Site moments in Bohr magnetons follow the coordinates.
Fractional positions:
1 W 0.000 0.500 0.000  0.39
2 W 0.500 0.000 0.000  0.49
3 W 0.000 0.000 0.500  0.39
4 Sb 0.000 0.000 0.000  -0.01
5 Rb 0.500 0.500 0.500  0.03

Results
N(E_F)	1.77	states/eV per atom

Which one sits at the top of the stability order? 2 does.

1 | First-principles (PBE) data for a geometry-optimized RbSb3W structure, as listed in Alexandria.

Cell: 5.398 5.398 5.398 Å, 90.00 90.00 90.00°
Fractional positions:
1 W 0.000 0.000 0.000
2 Sb 0.000 0.000 0.500
3 Sb 0.500 0.000 0.000
4 Sb 0.000 0.500 0.000
5 Rb 0.500 0.500 0.500

Results
N(E_F)	1.02	states/eV per atom

2 | First-principles (PBE) data for a geometry-optimized RbSb3W structure, as listed in Alexandria.

Cell: 5.675 5.675 5.675 Å, 90.00 90.00 90.00°
Site moments in Bohr magnetons follow the coordinates.
Fractional positions:
1 Rb 0.000 0.000 0.000  0.02
2 Sb 0.500 0.000 0.000  0.05
3 Sb 0.000 0.000 0.500  0.05
4 Sb 0.000 0.500 0.000  0.04
5 W 0.500 0.500 0.500  -0.57

Results
N(E_F)	1.88	states/eV per atom

Which one sits at the top of the stability order? 1 does.

1 | First-principles (PBE) data for a geometry-optimized RbY3Sb structure, as listed in Alexandria.

Cell: 5.442 5.442 5.442 Å, 90.00 90.00 90.00°
Fractional positions:
1 Y 0.500 0.000 0.000
2 Y 0.000 0.500 0.000
3 Y 0.000 0.000 0.500
4 Sb 0.500 0.500 0.500
5 Rb 0.000 0.000 0.000

Results
N(E_F)	0.73	states/eV per atom

2 | First-principles (PBE) data for a geometry-optimized RbY3Sb structure, as listed in Alexandria.

Cell: 5.938 5.938 5.938 Å, 90.00 90.00 90.00°
Site moments in Bohr magnetons follow the coordinates.
Fractional positions:
1 Y 0.000 0.000 0.500  0.49
2 Y 0.500 0.000 0.000  0.34
3 Y 0.000 0.500 0.000  0.36
4 Rb 0.500 0.500 0.500  0.04
5 Sb 0.000 0.000 0.000  -0.01

Results
N(E_F)	1.36	states/eV per atom

Which one sits at the top of the stability order? 2 does.

1 | First-principles (PBE) data for a geometry-optimized RbYSb2 structure, as listed in Alexandria.

Cell: 5.632 5.632 5.632 Å, 60.00 60.00 60.00°
Fractional positions:
1 Y 0.500 0.500 0.500
2 Sb 0.750 0.750 0.750
3 Sb 0.250 0.250 0.250
4 Rb 0.000 0.000 0.000

Results
N(E_F)	1.48	states/eV per atom

2 | First-principles (PBE) data for a geometry-optimized RbYSb2 structure, as listed in Alexandria.

Cell: 6.398 6.398 10.688 Å, 72.58 72.58 90.00°
Fractional positions:
1 Y 0.750 0.250 0.500
2 Y 0.000 0.000 0.000
3 Rb 0.500 0.500 0.000
4 Rb 0.250 0.750 0.500
5 Sb 0.875 0.057 0.750
6 Sb 0.943 0.625 0.250
7 Sb 0.807 0.125 0.250
8 Sb 0.375 0.193 0.750

Results
N(E_F)	0.06	states/eV per atom

Which one sits at the top of the stability order? 2 does.

1 | First-principles (PBE) data for a geometry-optimized Rb3YSb structure, as listed in Alexandria.

Cell: 7.027 7.027 7.027 Å, 90.00 90.00 90.00°
Site moments in Bohr magnetons follow the coordinates.
Fractional positions:
1 Sb 0.000 0.000 0.000  -0.07
2 Rb 0.000 0.500 0.000  0.00
3 Rb 0.500 0.000 0.000  0.00
4 Rb 0.000 0.000 0.500  0.00
5 Y 0.500 0.500 0.500  0.58

Results
N(E_F)	2.13	states/eV per atom

2 | First-principles (PBE) data for a geometry-optimized Rb3YSb structure, as listed in Alexandria.

Cell: 6.967 6.967 6.967 Å, 90.00 90.00 90.00°
Site moments in Bohr magnetons follow the coordinates.
Fractional positions:
1 Rb 0.000 0.000 0.500  0.03
2 Rb 0.000 0.500 0.000  0.03
3 Rb 0.500 0.000 0.000  0.03
4 Sb 0.500 0.500 0.500  -0.41
5 Y 0.000 0.000 0.000  0.87

Results
N(E_F)	1.56	states/eV per atom

Which one sits at the top of the stability order? 1 does.

1 | First-principles (PBE) data for a geometry-optimized RbZn3Sb3 structure, as listed in Alexandria.

Cell: 7.301 7.301 10.533 Å, 69.72 69.72 60.00°
Fractional positions:
1 Zn 0.141 0.479 0.577
2 Zn 0.197 0.859 0.423
3 Zn 0.803 0.141 0.577
4 Zn 0.521 0.197 0.423
5 Zn 0.859 0.521 0.423
6 Zn 0.479 0.803 0.577
7 Sb 0.771 0.426 0.705
8 Sb 0.229 0.574 0.295
9 Sb 0.574 0.902 0.295
10 Sb 0.098 0.771 0.705
11 Sb 0.426 0.098 0.705
12 Sb 0.902 0.229 0.295
13 Rb 0.334 0.334 0.999
14 Rb 0.666 0.666 0.001

Results
N(E_F)	0.23	states/eV per atom

2 | First-principles (PBE) data for a geometry-optimized RbZn3Sb3 structure, as listed in Alexandria.

Cell: 7.587 7.587 7.587 Å, 90.00 90.00 90.00°
Fractional positions:
1 Zn 0.750 0.000 0.500
2 Zn 0.500 0.750 0.000
3 Zn 0.250 0.000 0.500
4 Zn 0.000 0.500 0.750
5 Zn 0.500 0.250 0.000
6 Zn 0.000 0.500 0.250
7 Rb 0.500 0.500 0.500
8 Rb 0.000 0.000 0.000
9 Sb 0.750 0.500 0.000
10 Sb 0.500 0.000 0.750
11 Sb 0.000 0.250 0.500
12 Sb 0.250 0.500 0.000
13 Sb 0.000 0.750 0.500
14 Sb 0.500 0.000 0.250

Results
N(E_F)	0.61	states/eV per atom

Which one sits at the top of the stability order? 2 does.

1 | First-principles (PBE) data for a geometry-optimized RbZr3Sb structure, as listed in Alexandria.

Cell: 5.518 5.518 5.518 Å, 90.00 90.00 90.00°
Fractional positions:
1 Sb 0.000 0.000 0.000
2 Zr 0.500 0.000 0.000
3 Zr 0.000 0.000 0.500
4 Zr 0.000 0.500 0.000
5 Rb 0.500 0.500 0.500

Results
N(E_F)	2.38	states/eV per atom

2 | First-principles (PBE) data for a geometry-optimized RbZr3Sb structure, as listed in Alexandria.

Cell: 5.049 5.049 5.049 Å, 90.00 90.00 90.00°
Site moments in Bohr magnetons follow the coordinates.
Fractional positions:
1 Sb 0.500 0.500 0.500  -0.01
2 Zr 0.500 0.000 0.000  0.22
3 Zr 0.000 0.500 0.000  0.21
4 Zr 0.000 0.000 0.500  0.22
5 Rb 0.000 0.000 0.000  0.05

Results
N(E_F)	1.94	states/eV per atom

Which one sits at the top of the stability order? 1 does.

1 | First-principles (PBE) data for a geometry-optimized RbZrSb2 structure, as listed in Alexandria.

Cell: 3.637 3.637 9.086 Å, 90.00 90.00 90.00°
Fractional positions:
1 Zr 0.500 0.500 0.000
2 Sb 0.000 0.000 0.810
3 Sb 0.000 0.000 0.190
4 Rb 0.500 0.500 0.500

Results
N(E_F)	0.88	states/eV per atom

2 | First-principles (PBE) data for a geometry-optimized RbZrSb2 structure, as listed in Alexandria.

Cell: 5.440 5.440 5.440 Å, 60.00 60.00 60.00°
Fractional positions:
1 Sb 0.750 0.750 0.750
2 Sb 0.250 0.250 0.250
3 Zr 0.500 0.500 0.500
4 Rb 0.000 0.000 0.000

Results
N(E_F)	0.45	states/eV per atom

3 | First-principles (PBE) data for a geometry-optimized RbZrSb2 structure, as listed in Alexandria.

Cell: 6.762 6.762 9.917 Å, 70.07 70.07 90.00°
Fractional positions:
1 Sb 0.876 0.125 0.250
2 Sb 0.874 0.625 0.250
3 Sb 0.875 0.126 0.750
4 Sb 0.375 0.124 0.750
5 Rb 0.500 0.500 0.000
6 Rb 0.250 0.750 0.500
7 Zr 0.750 0.250 0.500
8 Zr 0.000 0.000 0.000

Results
N(E_F)	0.37	states/eV per atom

4 | First-principles (PBE) data for a geometry-optimized RbZrSb2 structure, as listed in Alexandria.

Cell: 4.017 4.017 9.594 Å, 77.92 77.92 60.00°
Fractional positions:
1 Sb 0.267 0.267 0.198
2 Sb 0.733 0.733 0.802
3 Rb 0.500 0.500 0.500
4 Zr 0.000 0.000 0.000

Results
N(E_F)	0.27	states/eV per atom

Which one sits at the top of the stability order? 4 does.